An optimized crystal structure of Cs3K3MnI8. Source: the Alexandria database, functional GGA-PBE.

Computed properties:
Symmetry: No. 166
Spin magnetization (Bohr magnetons per cell): 5.000
VASP energy (eV/cell): -46.600
Formation energy without anion corrections (eV per atom): -1.2784

a b c (Å): 10.6354 10.6354 10.6354
angles (deg): 57.42 57.42 57.42
Element x y z (fractional)
Cs 0.0000 0.5000 0.5000
Cs 0.5000 0.0000 0.5000
Cs 0.5000 0.5000 0.0000
K 0.0000 0.0000 0.5000
K 0.0000 0.5000 0.0000
K 0.5000 0.0000 0.0000
Mn 0.5000 0.5000 0.5000
I 0.2413 0.2413 0.2413
I 0.2851 0.7028 0.7028
I 0.2972 0.2972 0.7149
I 0.2972 0.7149 0.2972
I 0.7028 0.2851 0.7028
I 0.7028 0.7028 0.2851
I 0.7149 0.2972 0.2972
I 0.7587 0.7587 0.7587